1.
DFT (PBE) results for ReIr2Pb after structural relaxation.

Results
total magnetic moment	0.0	Bohr magnetons per cell
N(E_F)	3.16	states/eV/cell
energy of formation	2.23	eV per formula unit

abc: 2.9494 2.9494 7.8104
angles: 90.00 90.00 90.00
With the nearest neighbours (Å) after each atom.
Space group P4mm (No. 99)
One atom of each set of equivalent atoms:
Re  0.0000  0.0000  0.0000 [1 per cell]  4 Ir 2.63
Ir  0.0000  0.0000  0.4536 [1 per cell]  8 Ir 2.85-2.95, 4 Pb 2.92
Ir  0.5000  0.5000  0.2058 [1 per cell]  4 Re 2.63, 4 Ir 2.85
Pb  0.5000  0.5000  0.7144 [1 per cell]  4 Ir 2.92, 4 Pb 2.95, 4 Re 3.05

---

2.
DFT (PBE) results for Re2IrPb after structural relaxation.

Results
total magnetic moment	5.6	Bohr magnetons per cell
N(E_F)	16.09	states/eV/cell
energy of formation	3.72	eV per formula unit

abc: 6.4799 6.4799 6.4799
angles: 90.00 90.00 90.00
With the nearest neighbours (Å) after each atom.
Space group F-43m (No. 216)
One atom of each set of equivalent atoms:
Re  0.0000  0.0000  0.0000 [4 per cell]  4 Pb 2.81, 4 Re 2.81
Re  0.2500  0.2500  0.2500 [4 per cell]  4 Re 2.81, 4 Ir 2.81
Ir  0.0000  0.0000  0.5000 [4 per cell]  4 Re 2.81, 4 Pb 2.81
Pb  0.2500  0.2500  0.7500 [4 per cell]  4 Re 2.81, 4 Ir 2.81

---

3.
DFT (PBE) results for Re2IrPb after structural relaxation.

Results
total magnetic moment	0.0	Bohr magnetons per cell
N(E_F)	8.07	states/eV/cell
energy of formation	2.08	eV per formula unit

abc: 2.9182 2.9182 28.1817
angles: 90.00 90.00 120.00
With the nearest neighbours (Å) after each atom.
Space group R3m (No. 160, hexagonal axes)
One atom of each set of equivalent atoms:
Re  0.0000  0.0000  0.0000 [3 per cell]  9 Re 2.68-2.92, 3 Ir 2.70
Re  0.0000  0.0000  0.2596 [3 per cell]  9 Re 2.68-2.92
Ir  0.0000  0.0000  0.7414 [3 per cell]  3 Re 2.70, 6 Ir 2.92
Pb  0.0000  0.0000  0.4996 [3 per cell]  6 Pb 2.92, 3 Ir 3.08, 3 Re 3.12

---

Question: What is the formula in the third record?
Answer: Re2IrPb